1.
Entry from Alexandria: a geometry-optimized Ho2PaSn structure (PBE-GGA).

The space group is No. 166. Its formation energy is 40 kJ/mol of formula units. The value obtained for the energy relative to the lowest polymorph listed for this composition is 0.3105 eV per atom. For the calculated total energy, the calculation gives -5.56 eV/atom.

abc: 11.8453 11.8453 11.8453
angles: 16.53 16.53 16.53
Closest atoms and distances in Å follow each position.
Positions (direct):
Ho 0.0891 0.0891 0.0891  1 Sn 3.12, 3 Pa 3.36, 6 Ho 3.41
Ho 0.9109 0.9109 0.9109  1 Sn 3.12, 3 Pa 3.36, 6 Ho 3.41
Pa 0.5000 0.5000 0.5000  6 Ho 3.36, 6 Pa 3.41
Sn 0.0000 0.0000 0.0000  2 Ho 3.12, 6 Sn 3.41



2.
Entry from Alexandria: a geometry-optimized YTaIr structure (PBE-GGA).

The space group is No. 129. Its formation energy is -161 kJ/mol of formula units. The value obtained for the energy relative to the lowest polymorph listed for this composition is 0.0223 eV per atom. For the calculated total energy, the calculation gives -9.61 eV/atom.

abc: 4.5130 4.5130 6.6450
angles: 90.00 90.00 90.00
Closest atoms and distances in Å follow each position.
Positions (direct):
Y 0.2500 0.2500 0.1344  1 Ir 2.93
Y 0.7500 0.7500 0.8656  1 Ir 2.93
Ta 0.2500 0.7500 0.5000  4 Ir 2.59
Ta 0.7500 0.2500 0.5000  4 Ir 2.59
Ir 0.2500 0.2500 0.6928  4 Ta 2.59
Ir 0.7500 0.7500 0.3072  4 Ta 2.59



3.
Entry from Alexandria: a geometry-optimized Re3SiMo structure (PBE-GGA).

The space group is No. 221. The uncorrected formation energy is 12.0 eV/f.u. The value obtained for the energy relative to the lowest polymorph listed for this composition is 1.2651 eV per atom. For the calculated total energy, the calculation gives -8.31 eV/atom.

abc: 4.7096 4.7096 4.7096
angles: 90.00 90.00 90.00
Closest atoms and distances in Å follow each position.
Positions (direct):
Re 0.0000 0.0000 0.5000  2 Mo 2.35
Re 0.0000 0.5000 0.0000  2 Mo 2.35
Re 0.5000 0.0000 0.0000  2 Mo 2.35
Si 0.5000 0.5000 0.5000  12 Re 3.33
Mo 0.0000 0.0000 0.0000  6 Re 2.35



4.
Entry from Alexandria: a geometry-optimized ZnSbSe structure (PBE-GGA).

The space group is No. 216. The uncorrected formation energy is 1.2 eV/f.u. For the calculated total energy, the calculation gives -2.56 eV/atom.

abc: 4.8342 4.8342 4.8342
angles: 60.00 60.00 60.00
Closest atoms and distances in Å follow each position.
Positions (direct):
Zn 0.0000 0.0000 0.0000  4 Se 2.96
Sb 0.5000 0.5000 0.5000  4 Se 2.96
Se 0.2500 0.2500 0.2500  4 Sb 2.96, 4 Zn 2.96



5.
Entry from Alexandria: a geometry-optimized Fe2CoW structure (PBE-GGA).

The space group is No. 6. Its formation energy is 48 kJ/mol of formula units. The value obtained for the energy relative to the lowest polymorph listed for this composition is 0.1020 eV per atom. For the calculated total energy, the calculation gives -9.12 eV/atom.

abc: 2.5810 4.0970 4.8657
angles: 90.00 101.01 90.00
Closest atoms and distances in Å follow each position.
Positions (direct):
Fe 0.0000 0.0000 0.0000  2 Co 2.47-2.59, 4 Fe 2.48-2.58, 2 W 2.57
Fe 0.2348 0.5000 0.7634  4 Fe 2.48-2.58, 2 Co 2.50, 2 W 2.52-2.53
Co 0.4696 0.0000 0.5198  4 Fe 2.47-2.59, 2 W 2.57, 2 Co 2.58
W 0.7449 0.5000 0.2628  4 Fe 2.52-2.57, 2 Co 2.57, 2 W 2.58



6.
Entry from Alexandria: a geometry-optimized Ac6PuHg5 structure (PBE-GGA).

The space group is No. 71. Its formation energy is -380 kJ/mol of formula units. For the calculated total energy, the calculation gives -3.70 eV/atom.

abc: 9.9469 9.9469 9.9469
angles: 146.43 132.13 59.73
Closest atoms and distances in Å follow each position.
Positions (direct):
Ac 0.0808 0.3319 0.7488  7 Hg 3.50-3.61, 1 Pu 3.54
Ac 0.2436 0.0000 0.2436  6 Hg 3.43-3.48, 2 Pu 3.54
Ac 0.4169 0.6681 0.7488  7 Hg 3.50-3.61, 1 Pu 3.54
Ac 0.5831 0.3319 0.2512  7 Hg 3.50-3.61, 1 Pu 3.54
Ac 0.7564 0.0000 0.7564  6 Hg 3.43-3.48, 2 Pu 3.54
Ac 0.9192 0.6681 0.2512  7 Hg 3.50-3.61, 1 Pu 3.54
Pu 0.5000 0.5000 0.0000  8 Ac 3.54
Hg 0.0000 0.5000 0.5000  8 Ac 3.48-3.53
Hg 0.1664 0.1664 0.0000  8 Ac 3.48-3.51
Hg 0.3418 0.8418 0.5000  8 Ac 3.43-3.61
Hg 0.6582 0.1582 0.5000  8 Ac 3.43-3.61
Hg 0.8336 0.8336 0.0000  8 Ac 3.48-3.51